! Tl3PdW | the Alexandria database | PBEsol | optimized geometry; values from VASP
&SYSTEM
  ibrav = 0, nat = 5, ntyp = 3
/
ATOMIC_SPECIES
Tl 204.38 Tl.upf
Pd 106.42 Pd.upf
W 183.84 W.upf
ATOMIC_POSITIONS crystal
Tl 0.000 0.000 0.500
Tl 0.000 0.500 0.000
Tl 0.500 0.000 0.000
Pd 0.000 0.000 0.000
W 0.500 0.500 0.500
CELL_PARAMETERS angstrom
5.153 0.000 0.000
0.000 5.153 0.000
0.000 0.000 5.153
! DFT total energy in eV per formula unit: -21.07
! DFT formation energy in eV/atom: 1.317
! Offset from the most stable computed form in eV/atom: 0.101
! SG: No. 221
! DOS(E_F) in states/eV/atom: 0.561
! Spin magnetization in μB per cell: 4.08